The following is a DFT calculation (GGA-PBEsol) of Ta2SiAg after structural relaxation.

Calculated values
* SG: P4/mmm
* raw formation energy: -0.156 eV/f.u.

a = 2.842 Å, b = 2.842 Å, c = 7.875 Å
α = 90.00°, β = 90.00°, γ = 90.00°
Atoms (fractional coordinates):
Ta: 0.000 0.000 0.275
Ta: 0.000 0.000 0.725
Ag: 0.500 0.500 0.000
Si: 0.500 0.500 0.500